SrLi2AlIn4 | GGA-PBE | optimized geometry

```
8
Lattice="2.424 1.399 9.778 -2.424 1.399 9.778 0.000 -2.799 9.778" Properties=species:S:1:pos:R:3 pbc="T T T"
Sr 0.000 0.000 0.000
Li 0.000 0.000 6.684
Li 0.000 0.000 22.650
Al 0.000 0.000 14.667
In 0.000 0.000 3.635
In 0.000 0.000 11.800
In 0.000 0.000 17.534
In 0.000 0.000 25.699
```

## Properties
Space group: R-3m
DOS at the Fermi energy: 0.487 states/eV/atom
Spin magnetization: 0.0 μB/cell
Total DFT energy (no corrections): -2.7435 eV per atom
Calculated formation energy: -0.2178 eV per atom

Ac3SiRh3 | GGA-PBE | optimized geometry

```
28
Lattice="9.588 -3.190 0.000 9.588 3.190 0.000 0.000 0.000 12.141" Properties=species:S:1:pos:R:3 pbc="T T T"
Ac 6.179 2.022 1.611
Ac 6.179 1.168 7.681
Ac 9.588 2.119 10.341
Ac 9.588 1.071 4.271
Ac 12.997 2.022 1.611
Ac 12.997 1.168 7.681
Ac 6.179 -1.168 4.460
Ac 6.179 -2.022 10.530
Ac 9.588 -1.071 7.871
Ac 9.588 -2.119 1.800
Ac 12.997 -1.168 4.460
Ac 12.997 -2.022 10.530
Si 1.656 0.000 6.071
Si 7.932 0.000 0.000
Si 11.244 0.000 0.000
Si 17.520 0.000 6.071
Rh 6.499 1.942 4.649
Rh 6.499 1.248 10.719
Rh 9.588 2.019 7.286
Rh 9.588 1.172 1.215
Rh 12.677 1.942 4.649
Rh 12.677 1.248 10.719
Rh 6.499 -1.248 1.422
Rh 6.499 -1.942 7.492
Rh 9.588 -1.172 10.926
Rh 9.588 -2.019 4.855
Rh 12.677 -1.248 1.422
Rh 12.677 -1.942 7.492
```

## Properties
Space group: Cmce
DOS at the Fermi energy: 0.532 states/eV/atom
Spin magnetization: 0.0 μB/cell
Relative energy among the computed polymorphs: 0.0 meV/atom
Total DFT energy (no corrections): -6.3710 eV per atom
Formation energy without anion corrections: -685 meV per atom

Tm2Nb2N3 | GGA-PBE | optimized geometry

```
7
Lattice="5.571 -1.654 0.000 5.571 1.654 0.000 -1.662 0.000 5.357" Properties=species:S:1:pos:R:3 pbc="T T T"
Tm 0.714 0.000 1.862
Tm 8.766 0.000 3.495
Nb 3.681 0.000 0.792
Nb 5.799 0.000 4.565
N 1.557 0.000 3.998
N 4.740 0.000 2.678
N 7.923 0.000 1.359
```

## Properties
Space group: C2/m
DOS at the Fermi energy: 0.482 states/eV/atom
Spin magnetization: 0.0 μB/cell
Total DFT energy (no corrections): -9.0287 eV per atom
Formation energy without anion corrections: -1306 meV per atom

TiFeSeN2 | GGA-PBE | optimized geometry

```
5
Lattice="3.825 0.000 0.000 0.000 3.825 0.000 0.000 0.000 5.426" Properties=species:S:1:pos:R:3 pbc="T T T"
Ti 0.000 0.000 0.000
Fe 1.913 1.913 2.713
Se 0.000 0.000 2.713
N 0.000 1.913 0.000
N 1.913 0.000 0.000
```

## Properties
Space group: P4/mmm
DOS at the Fermi energy: 1.090 states/eV/atom
Spin magnetization: 3.8 μB/cell
Relative energy among the computed polymorphs: 0.0 meV/atom
Total DFT energy (no corrections): -6.8351 eV per atom
Formation energy without anion corrections: 464 meV per atom